i.
Computed, not measured: an optimized crystal structure of KLiCd3 at the PBE-GGA level of DFT.

Theoretical density = 2572 kg/m³
Total magnetization = 0.00 μB/cell
Calculated volume = 49.49 A^3/atom

Cell: 6.278 6.278 6.278 Å, 90.00 90.00 90.00°
Space group Pm-3m (No. 221)
Unique sites:
K (0.000, 0.000, 0.000) x1
Li (0.500, 0.500, 0.500) x1
Cd (0.000, 0.000, 0.500) x3

---

ii.
Computed, not measured: an optimized crystal structure of KLiCd3 at the PBE-GGA level of DFT.

Theoretical density = 4815 kg/m³
Total magnetization = 0.00 μB/cell
Calculated volume = 26.44 A^3/atom

Cell: 6.413 5.113 8.677 Å, 90.00 111.69 90.00°
Space group P2_1/m (No. 11)
Unique sites:
K (0.080, 0.250, 0.162) x2
Li (0.355, 0.750, 0.708) x2
Cd (0.052, 0.250, 0.596) x2
Cd (0.455, 0.250, 0.913) x2
Cd (0.456, 0.750, 0.404) x2

---

iii.
Computed, not measured: an optimized crystal structure of KLiCd3 at the PBE-GGA level of DFT.

Theoretical density = 4409 kg/m³
Total magnetization = 0.00 μB/cell
Calculated volume = 28.87 A^3/atom

Cell: 5.246 5.246 5.246 Å, 90.00 90.00 90.00°
Space group Pm-3m (No. 221)
Unique sites:
K (0.000, 0.000, 0.000) x1
Li (0.500, 0.500, 0.500) x1
Cd (0.000, 0.500, 0.500) x3

---

Stability comparison, relative energies in meV per atom: i 692; ii 0; iii 146

---

i.
Computed, not measured: an optimized crystal structure of KNa2LiCd at the PBE-GGA level of DFT.

Theoretical density = 1715 kg/m³
Total magnetization = 0.00 μB/cell
Calculated volume = 39.58 A^3/atom

Cell: 6.011 6.011 5.477 Å, 90.00 90.00 90.00°
Space group P4/mmm (No. 123)
Unique sites:
K (0.000, 0.000, 0.000) x1
Na (0.000, 0.500, 0.500) x2
Li (0.500, 0.500, 0.000) x1
Cd (0.500, 0.500, 0.500) x1

---

ii.
Computed, not measured: an optimized crystal structure of KNa2LiCd at the PBE-GGA level of DFT.

Theoretical density = 1868 kg/m³
Total magnetization = 0.00 μB/cell
Calculated volume = 36.34 A^3/atom

Cell: 5.797 5.797 5.406 Å, 90.00 90.00 90.00°
Space group P4/mmm (No. 123)
Unique sites:
K (0.000, 0.000, 0.000) x1
Na (0.000, 0.500, 0.500) x2
Li (0.500, 0.500, 0.500) x1
Cd (0.500, 0.500, 0.000) x1

---

Stability comparison, relative energies in meV per atom: i 0; ii 7